Density functional theory data (PBE-GGA) for a relaxed structure of HgAsBr2.

Computed properties:
Uncorrected energy (eV per cell): -6.5
Energy relative to the lowest polymorph listed for this composition (meV/atom): 572
SG: F-43m
Total magnetization (μB per formula unit): 0.09

Cell lengths 5.181, 5.181, 5.181 Å; angles 60.00, 60.00, 60.00 degrees
Atoms (fractional coordinates):
Hg 0.000 0.000 0.000
As 0.750 0.750 0.750
Br 0.250 0.250 0.250
Br 0.500 0.500 0.500

Density functional theory data (PBE-GGA) for a relaxed structure of Pr4Ho5Al.

Computed properties:
Uncorrected energy (eV per cell): -45.1
Energy relative to the lowest polymorph listed for this composition (meV/atom): 128
SG: I4mm
Total magnetization (μB per formula unit): 0.00

Cell lengths 8.130, 8.130, 8.130 Å; angles 97.10, 97.10, 138.83 degrees
Atoms (fractional coordinates):
Pr 0.000 0.309 0.309
Pr 0.000 0.691 0.691
Pr 0.309 0.000 0.309
Pr 0.691 0.000 0.691
Ho 0.199 0.199 0.000
Ho 0.327 0.327 0.638
Ho 0.327 0.689 0.000
Ho 0.689 0.327 0.000
Ho 0.689 0.689 0.362
Al 0.713 0.713 0.000

Density functional theory data (PBE-GGA) for a relaxed structure of MgTePCl2.

Computed properties:
Uncorrected energy (eV per cell): -15.4
Energy relative to the lowest polymorph listed for this composition (meV/atom): 0
SG: P4/mmm
Total magnetization (μB per formula unit): 0.83

Cell lengths 4.494, 4.494, 8.916 Å; angles 90.00, 90.00, 90.00 degrees
Atoms (fractional coordinates):
Mg 0.000 0.000 0.000
Te 0.500 0.500 0.500
P 0.000 0.000 0.500
Cl 0.000 0.500 0.000
Cl 0.500 0.000 0.000

Density functional theory data (PBE-GGA) for a relaxed structure of DyAl8Cr2.

Computed properties:
Uncorrected energy (eV per cell): -53.3
SG: C2/m
Total magnetization (μB per formula unit): 3.08

Cell lengths 6.764, 6.764, 4.877 Å; angles 98.61, 98.61, 112.29 degrees
Atoms (fractional coordinates):
Dy 0.000 0.000 0.000
Al 0.096 0.331 0.597
Al 0.276 0.724 0.000
Al 0.331 0.096 0.597
Al 0.412 0.412 0.231
Al 0.588 0.588 0.769
Al 0.669 0.904 0.403
Al 0.724 0.276 0.000
Al 0.904 0.669 0.403
Cr 0.293 0.707 0.500
Cr 0.707 0.293 0.500

Density functional theory data (PBE-GGA) for a relaxed structure of TiW.

Computed properties:
Uncorrected energy (eV per cell): -41.8
SG: P2_1/m
Total magnetization (μB per formula unit): 0.00

Cell lengths 2.785, 4.503, 5.290 Å; angles 90.00, 101.23, 90.00 degrees
Atoms (fractional coordinates):
Ti 0.147 0.250 0.375
Ti 0.853 0.750 0.625
W 0.393 0.750 0.119
W 0.607 0.250 0.881

Density functional theory data (PBE-GGA) for a relaxed structure of LiCa2Rh2.

Computed properties:
Uncorrected energy (eV per cell): -41.8
Energy relative to the lowest polymorph listed for this composition (meV/atom): 275
SG: P4/mbm
Total magnetization (μB per formula unit): 0.00

Cell lengths 8.082, 8.082, 3.243 Å; angles 90.00, 90.00, 90.00 degrees
Atoms (fractional coordinates):
Li 0.000 0.000 0.000
Li 0.500 0.500 0.000
Ca 0.150 0.350 0.000
Ca 0.350 0.850 0.000
Ca 0.650 0.150 0.000
Ca 0.850 0.650 0.000
Rh 0.146 0.646 0.500
Rh 0.354 0.146 0.500
Rh 0.646 0.854 0.500
Rh 0.854 0.354 0.500

Looking at density for the records above, in order, we have 7.351; 7.096; 2.341; 4.028; 11.825; 4.592 g/cm3.